No. 1
The following is a PBE calculation of a relaxed BeTl2Hg crystal, from the Alexandria database.

Unit cell a=6.4075 b=3.6698 c=8.4799 alpha=90.00 beta=100.90 gamma=90.00
Space group C2/m (No. 12)
Symmetry-distinct sites (fractional):
Be (0.0000, 0.0000, 0.0000) x2
Tl (0.2224, 0.5000, 0.1994) x4
Hg (0.0000, 0.5000, 0.5000) x2

Computed properties:
energy above the lowest structure with this stoichiometry	92	meV/atom
formation enthalpy at 0 K	0.40	eV/atom
DOS(E_F)	1.4	states/eV/f.u.
E	-1.7874	eV per atom


No. 2
The following is a PBE calculation of a relaxed BeTl2Hg crystal, from the Alexandria database.

Unit cell a=6.4481 b=8.3542 c=3.7535 alpha=90.00 beta=99.88 gamma=90.00
Space group C2/m (No. 12)
Symmetry-distinct sites (fractional):
Be (0.0000, 0.0000, 0.0000) x2
Tl (0.2500, 0.2500, 0.5000) x4
Hg (0.0000, 0.5000, 0.0000) x2

Computed properties:
energy above the lowest structure with this stoichiometry	227	meV/atom
formation enthalpy at 0 K	0.54	eV/atom
DOS(E_F)	1.6	states/eV/f.u.
E	-1.6521	eV per atom


No. 3
The following is a PBE calculation of a relaxed BeTlHg2 crystal, from the Alexandria database.

Unit cell a=4.3835 b=4.3835 c=9.6251 alpha=90.00 beta=90.00 gamma=90.00
Space group I4/mmm (No. 139)
Symmetry-distinct sites (fractional):
Be (0.0000, 0.0000, 0.0000) x2
Tl (0.0000, 0.0000, 0.5000) x2
Hg (0.0000, 0.5000, 0.2500) x4

Computed properties:
energy above the lowest structure with this stoichiometry	249	meV/atom
formation enthalpy at 0 K	0.52	eV/atom
DOS(E_F)	1.4	states/eV/f.u.
E	-1.1531	eV per atom


No. 4
The following is a PBE calculation of a relaxed BeTlHg2 crystal, from the Alexandria database.

Unit cell a=4.8439 b=3.7025 c=5.6169 alpha=90.00 beta=111.97 gamma=90.00
Space group P2/m (No. 10)
Symmetry-distinct sites (fractional):
Be (0.0000, 0.0000, 0.0000) x1
Tl (0.0000, 0.5000, 0.5000) x1
Hg (0.5000, 0.0000, 0.5000) x1
Hg (0.5000, 0.5000, 0.0000) x1

Computed properties:
energy above the lowest structure with this stoichiometry	244	meV/atom
formation enthalpy at 0 K	0.52	eV/atom
DOS(E_F)	1.2	states/eV/f.u.
E	-1.1584	eV per atom


No. 5
The following is a PBE calculation of a relaxed BeTlHg2 crystal, from the Alexandria database.

Unit cell a=5.9870 b=3.6215 c=8.4845 alpha=90.00 beta=100.51 gamma=90.00
Space group C2/m (No. 12)
Symmetry-distinct sites (fractional):
Be (0.0000, 0.0000, 0.0000) x2
Tl (0.0000, 0.5000, 0.5000) x2
Hg (0.2175, 0.5000, 0.1837) x4

Computed properties:
energy above the lowest structure with this stoichiometry	24	meV/atom
formation enthalpy at 0 K	0.30	eV/atom
DOS(E_F)	1.2	states/eV/f.u.
E	-1.3783	eV per atom


No. 6
The following is a PBE calculation of a relaxed BeTl2Hg crystal, from the Alexandria database.

Unit cell a=4.3799 b=4.3799 c=10.3865 alpha=90.00 beta=90.00 gamma=90.00
Space group I-4m2 (No. 119)
Symmetry-distinct sites (fractional):
Be (0.0000, 0.0000, 0.0000) x2
Tl (0.0000, 0.0000, 0.5000) x2
Tl (0.0000, 0.5000, 0.2500) x2
Hg (0.0000, 0.5000, 0.7500) x2

Computed properties:
energy above the lowest structure with this stoichiometry	232	meV/atom
formation enthalpy at 0 K	0.54	eV/atom
DOS(E_F)	1.9	states/eV/f.u.
E	-1.6472	eV per atom


No. 7
The following is a PBE calculation of a relaxed BeTl2Hg crystal, from the Alexandria database.

Unit cell a=4.7608 b=3.7341 c=6.0546 alpha=90.00 beta=110.24 gamma=90.00
Space group P2/m (No. 10)
Symmetry-distinct sites (fractional):
Be (0.0000, 0.0000, 0.0000) x1
Tl (0.0000, 0.0000, 0.5000) x1
Tl (0.5000, 0.5000, 0.0000) x1
Hg (0.5000, 0.5000, 0.5000) x1

Computed properties:
energy above the lowest structure with this stoichiometry	217	meV/atom
formation enthalpy at 0 K	0.53	eV/atom
DOS(E_F)	1.5	states/eV/f.u.
E	-1.6618	eV per atom


No. 8
The following is a PBE calculation of a relaxed Be2TlHg crystal, from the Alexandria database.

Unit cell a=7.2272 b=4.1728 c=5.4401 alpha=90.00 beta=90.40 gamma=90.00
Space group Cm (No. 8)
Symmetry-distinct sites (fractional):
Be (0.0000, 0.0000, 0.0000) x2
Be (0.1666, 0.5000, 0.0000) x2
Tl (0.1672, 0.5000, 0.5000) x2
Hg (0.3333, 0.0000, 0.9999) x2

Computed properties:
energy above the lowest structure with this stoichiometry	11	meV/atom
formation enthalpy at 0 K	0.36	eV/atom
DOS(E_F)	1.5	states/eV/f.u.
E	-2.1722	eV per atom


No. 9
The following is a PBE calculation of a relaxed BeTl2Hg crystal, from the Alexandria database.

Unit cell a=3.2508 b=3.2508 c=9.1949 alpha=90.00 beta=90.00 gamma=90.00
Space group P4mm (No. 99)
Symmetry-distinct sites (fractional):
Be (0.0000, 0.0000, 0.0000) x1
Tl (0.0000, 0.0000, 0.4092) x1
Tl (0.5000, 0.5000, 0.7502) x1
Hg (0.5000, 0.5000, 0.1161) x1

Computed properties:
energy above the lowest structure with this stoichiometry	22	meV/atom
formation enthalpy at 0 K	0.33	eV/atom
DOS(E_F)	1.5	states/eV/f.u.
E	-1.8566	eV per atom


No. 10
The following is a PBE calculation of a relaxed BeTlHg2 crystal, from the Alexandria database.

Unit cell a=3.1184 b=5.7263 c=10.1443 alpha=90.00 beta=90.00 gamma=90.00
Space group Immm (No. 71)
Symmetry-distinct sites (fractional):
Be (0.0000, 0.0000, 0.0000) x2
Tl (0.0000, 0.0000, 0.5000) x2
Hg (0.0000, 0.5000, 0.3073) x4

Computed properties:
energy above the lowest structure with this stoichiometry	76	meV/atom
formation enthalpy at 0 K	0.35	eV/atom
DOS(E_F)	1.6	states/eV/f.u.
E	-1.3265	eV per atom


No. 11
The following is a PBE calculation of a relaxed BeTl2Hg crystal, from the Alexandria database.

Unit cell a=7.1920 b=7.2028 c=3.8566 alpha=90.00 beta=90.00 gamma=90.00
Space group Cmmm (No. 65)
Symmetry-distinct sites (fractional):
Be (0.0000, 0.0000, 0.0000) x2
Tl (0.2500, 0.2500, 0.5000) x4
Hg (0.0000, 0.5000, 0.0000) x2

Computed properties:
energy above the lowest structure with this stoichiometry	221	meV/atom
formation enthalpy at 0 K	0.53	eV/atom
DOS(E_F)	1.7	states/eV/f.u.
E	-1.6579	eV per atom


No. 12
The following is a PBE calculation of a relaxed Be2TlHg crystal, from the Alexandria database.

Unit cell a=3.0372 b=6.0116 c=8.2763 alpha=90.00 beta=90.00 gamma=90.00
Space group Immm (No. 71)
Symmetry-distinct sites (fractional):
Be (0.0000, 0.0000, 0.2384) x4
Tl (0.0000, 0.5000, 0.0000) x2
Hg (0.0000, 0.5000, 0.5000) x2

Computed properties:
energy above the lowest structure with this stoichiometry	354	meV/atom
formation enthalpy at 0 K	0.70	eV/atom
DOS(E_F)	1.1	states/eV/f.u.
E	-1.8301	eV per atom